(1)
VASP calculation (GGA-PBE) on a geometry-optimized Ca3PbSe4 structure.

Lattice parameters (Å, degrees): 7.402 7.402 4.260 90.00 90.00 109.40
Fractional positions:
1 Ca 0.000 0.000 0.000
2 Ca 0.000 0.500 0.500
3 Ca 0.500 0.000 0.500
4 Pb 0.500 0.500 0.000
5 Se 0.240 0.240 0.500
6 Se 0.246 0.754 0.000
7 Se 0.754 0.246 0.000
8 Se 0.760 0.760 0.500

Electronic total energy in eV for the cell shown: -36.830
Offset from the most stable computed form in meV per atom: 4
M_tot in Bohr magnetons per cell: 0.00
N(E_F) in states/eV per atom: 0.0000

(2)
VASP calculation (GGA-PBE) on a geometry-optimized Sr2LiCa structure.

Lattice parameters (Å, degrees): 7.061 7.061 7.061 134.51 134.51 66.30
Fractional positions:
1 Sr 0.000 0.000 0.000
2 Sr 0.750 0.250 0.500
3 Li 0.500 0.500 0.000
4 Ca 0.250 0.750 0.500

Electronic total energy in eV for the cell shown: -6.910
Offset from the most stable computed form in meV per atom: 76
M_tot in Bohr magnetons per cell: 0.00
N(E_F) in states/eV per atom: 1.0319